Record 1
Below is an optimized crystal structure of NaTaAu2, with properties calculated at the PBE level.

a b c (Å): 2.9799 2.9799 8.6277
angles (deg): 90.00 90.00 90.00
Space group P4/mmm (No. 123)
Asymmetric unit:
Na 0.0000 0.0000 0.0000 x1
Ta 0.0000 0.0000 0.5000 x1
Au 0.5000 0.5000 0.2736 x2

Calculated values
Its total energy is -5.0008 eV per atom. For the theoretical density, the calculation gives 12.96 g/cm³. The value obtained for the volume is 76.6 Å³/cell. The calculation puts the formation energy at -0.0692 eV/atom.


Record 2
Below is an optimized crystal structure of Na2TaAu, with properties calculated at the PBE level.

a b c (Å): 8.4127 8.4127 5.3746
angles (deg): 90.00 90.00 90.00
Space group I-42d (No. 122)
Asymmetric unit:
Na 0.2128 0.2500 0.1250 x8
Ta 0.0000 0.0000 0.5000 x4
Au 0.0000 0.0000 0.0000 x4

Calculated values
As for the polymorph energy (0 for the lowest one): 0 meV/atom. Its total energy is -3.5209 eV per atom. For the theoretical density, the calculation gives 7.40 g/cm³. The value obtained for the volume is 380.4 Å³/cell. The calculation puts the formation energy at 0.9211 eV/atom.


Among the records above, which one has the highest formation energy?
Na2TaAu


What is the theoretical density in the second record?
7.40 g/cm³